(one)
# Y2HoIn2

Y2HoIn2 after structural relaxation (PBE-GGA, Alexandria via LeMat-Bulk).

Results
Crystal system: orthorhombic
DOS(E_F), states/eV per cell: 10.13
Total magnetic moment, μB per cell: 0.0
Space-group type: Cmc2_1
Volume, Å³/f.u.: 140

Unit cell a=5.3805 b=6.5031 c=8.4429 alpha=90.00 beta=108.58 gamma=90.00
Atoms (fractional coordinates):
Y1 0.9725 0.7838 0.9449
Y2 0.8026 0.3455 0.6053
Y3 0.1974 0.8455 0.3947
Y4 0.0275 0.2838 0.0551
Ho1 0.4025 0.0811 0.8050
Ho2 0.5975 0.5811 0.1950
In1 0.3989 0.5661 0.7978
In2 0.7848 0.8579 0.5696
In3 0.2152 0.3579 0.4304
In4 0.6011 0.0661 0.2022

=====

(two)
# Y2HoIn2

Y2HoIn2 after structural relaxation (PBE-GGA, Alexandria via LeMat-Bulk).

Results
Crystal system: monoclinic
DOS(E_F), states/eV per cell: 8.25
Total magnetic moment, μB per cell: 0.0
Space-group type: P2_1/m
Volume, Å³/f.u.: 139

Unit cell a=3.7609 b=5.3352 c=13.9540 alpha=90.00 beta=97.76 gamma=90.00
Atoms (fractional coordinates):
Y1 0.0479 0.7500 0.0960
Y2 0.9521 0.2500 0.9040
Y3 0.2370 0.7500 0.4741
Y4 0.7630 0.2500 0.5259
Ho1 0.8517 0.7500 0.7021
Ho2 0.1483 0.2500 0.2979
In1 0.6432 0.7500 0.2876
In2 0.3568 0.2500 0.7124
In3 0.4496 0.7500 0.8996
In4 0.5504 0.2500 0.1004

=====

What are the relative energies? In meV per atom: (one) 54; (two) 0.

=====

(one)
# Y3Ho2In4

Y3Ho2In4 after structural relaxation (PBE-GGA, Alexandria via LeMat-Bulk).

Results
Crystal system: monoclinic
DOS(E_F), states/eV per cell: 8.05
Total magnetic moment, μB per cell: 0.0
Space-group type: C2/m
Volume, Å³/f.u.: 246

Unit cell a=5.2747 b=5.2680 c=10.2092 alpha=90.10 beta=90.00 gamma=59.96
Atoms (fractional coordinates):
Y1 0.3332 0.3335 0.4238
Y2 0.0000 0.0000 0.0000
Y3 0.6668 0.6665 0.5762
Ho1 0.3333 0.3337 0.7774
Ho2 0.6667 0.6663 0.2226
In1 0.6665 0.6671 0.8990
In2 0.9997 0.0003 0.3451
In3 0.0003 0.9997 0.6549
In4 0.3335 0.3329 0.1010

=====

(two)
# Y3Ho2In4

Y3Ho2In4 after structural relaxation (PBE-GGA, Alexandria via LeMat-Bulk).

Results
Crystal system: orthorhombic
DOS(E_F), states/eV per cell: 13.92
Total magnetic moment, μB per cell: 0.0
Space-group type: Cmce
Volume, Å³/f.u.: 264

Unit cell a=7.0291 b=9.6978 c=8.5122 alpha=90.00 beta=114.39 gamma=90.00
Atoms (fractional coordinates):
Y1 0.0000 0.0000 0.0000
Y2 0.5000 0.5000 0.0000
Y3 0.5334 0.7500 0.5667
Y4 0.9666 0.2500 0.4333
Y5 0.4666 0.2500 0.4333
Y6 0.0334 0.7500 0.5667
Ho1 0.1067 0.5445 0.2135
Ho2 0.8933 0.4555 0.7865
Ho3 0.3933 0.0445 0.7865
Ho4 0.6067 0.9555 0.2135
In1 0.7389 0.7500 0.9779
In2 0.7611 0.2500 0.0221
In3 0.2611 0.2500 0.0221
In4 0.2389 0.7500 0.9779
In5 0.1953 0.9763 0.3907
In6 0.8047 0.0237 0.6093
In7 0.3047 0.4763 0.6093
In8 0.6953 0.5237 0.3907

=====

What are the relative energies? In meV per atom: (one) 0; (two) 164.

=====

(one)
# Ho2Zn3In

Ho2Zn3In after structural relaxation (PBE-GGA, Alexandria via LeMat-Bulk).

Results
Crystal system: orthorhombic
DOS(E_F), states/eV per cell: 5.84
Total magnetic moment, μB per cell: 0.0
Space-group type: Imm2
Volume, Å³/f.u.: 132

Unit cell a=3.6437 b=4.5650 c=8.4788 alpha=105.62 beta=102.41 gamma=90.00
Atoms (fractional coordinates):
Ho1 0.1391 0.1391 0.2783
Ho2 0.8599 0.3599 0.7198
Zn1 0.6980 0.6980 0.3959
Zn2 0.5447 0.5447 0.0893
Zn3 0.2965 0.7965 0.5930
In1 0.4619 0.9619 0.9238

=====

(two)
# Ho2Zn3In

Ho2Zn3In after structural relaxation (PBE-GGA, Alexandria via LeMat-Bulk).

Results
Crystal system: orthorhombic
DOS(E_F), states/eV per cell: 8.25
Total magnetic moment, μB per cell: 0.0
Space-group type: Fmmm
Volume, Å³/f.u.: 128

Unit cell a=5.7866 b=5.7866 c=8.6757 alpha=104.53 beta=104.53 gamma=104.33
Atoms (fractional coordinates):
Ho1 0.2500 0.7500 0.5000
Ho2 0.7572 0.7572 0.0000
Ho3 0.7500 0.2500 0.5000
Ho4 0.2428 0.2428 0.0000
Zn1 0.3243 0.8370 0.1613
Zn2 0.1630 0.6757 0.8387
Zn3 0.6757 0.1630 0.8387
Zn4 0.8370 0.3243 0.1613
Zn5 0.1624 0.1624 0.3247
Zn6 0.8376 0.8376 0.6753
In1 0.6654 0.6654 0.3308
In2 0.3346 0.3346 0.6692

=====

What are the relative energies? In meV per atom: (one) 88; (two) 0.

=====

(one)
# Ho4Zn2In

Ho4Zn2In after structural relaxation (PBE-GGA, Alexandria via LeMat-Bulk).

Results
Crystal system: trigonal
DOS(E_F), states/eV per cell: 7.51
Total magnetic moment, μB per cell: 0.0
Space-group type: R-3m
Volume, Å³/f.u.: 179

Unit cell a=5.0504 b=5.0504 c=8.6092 alpha=72.94 beta=72.94 gamma=60.00
Atoms (fractional coordinates):
Ho1 0.8678 0.8678 0.3966
Ho2 0.1322 0.1322 0.6034
Ho3 0.6136 0.6136 0.1593
Ho4 0.3864 0.3864 0.8407
Zn1 0.7457 0.7457 0.7629
Zn2 0.2543 0.2543 0.2371
In1 0.0000 0.0000 0.0000

=====

(two)
# Ho4Zn2In

Ho4Zn2In after structural relaxation (PBE-GGA, Alexandria via LeMat-Bulk).

Results
Crystal system: trigonal
DOS(E_F), states/eV per cell: 9.38
Total magnetic moment, μB per cell: 0.0
Space-group type: R-3m
Volume, Å³/f.u.: 193

Unit cell a=4.9483 b=4.9483 c=9.5341 alpha=74.96 beta=74.96 gamma=60.00
Atoms (fractional coordinates):
Ho1 0.3822 0.3822 0.8535
Ho2 0.2035 0.2035 0.3895
Ho3 0.7965 0.7965 0.6105
Ho4 0.6178 0.6178 0.1465
Zn1 0.0981 0.0981 0.7058
Zn2 0.9019 0.9019 0.2942
In1 0.0000 0.0000 0.0000

=====

What are the relative energies? In meV per atom: (one) 0; (two) 128.

=====

(one)
# HoZr2In

HoZr2In after structural relaxation (PBE-GGA, Alexandria via LeMat-Bulk).

Results
Crystal system: cubic
DOS(E_F), states/eV per cell: 1.78
Total magnetic moment, μB per cell: 0.0
Space-group type: Fm-3m
Volume, Å³/f.u.: 95

Unit cell a=5.1133 b=5.1133 c=5.1130 alpha=60.00 beta=60.00 gamma=60.00
Atoms (fractional coordinates):
Ho1 0.5000 0.5000 0.5000
Zr1 0.2500 0.2500 0.2499
Zr2 0.7500 0.7500 0.7501
In1 0.0000 0.0000 0.0000

=====

(two)
# HoZr2In

HoZr2In after structural relaxation (PBE-GGA, Alexandria via LeMat-Bulk).

Results
Crystal system: tetragonal
DOS(E_F), states/eV per cell: 5.43
Total magnetic moment, μB per cell: 0.0
Space-group type: P4/mmm
Volume, Å³/f.u.: 98

Unit cell a=3.2738 b=3.2738 c=9.1308 alpha=90.00 beta=90.00 gamma=90.00
Atoms (fractional coordinates):
Ho1 0.5000 0.5000 0.5000
Zr1 0.0000 0.0000 0.7665
Zr2 0.0000 0.0000 0.2335
In1 0.5000 0.5000 0.0000

=====

What are the relative energies? In meV per atom: (one) 47; (two) 0.

=====

(one)
# Ho2ZrIn3

Ho2ZrIn3 after structural relaxation (PBE-GGA, Alexandria via LeMat-Bulk).

Results
Crystal system: tetragonal
DOS(E_F), states/eV per cell: 5.35
Total magnetic moment, μB per cell: 0.6
Space-group type: P4/mmm
Volume, Å³/f.u.: 148

Unit cell a=3.3267 b=3.3267 c=13.3480 alpha=90.00 beta=90.00 gamma=90.00
Atoms (fractional coordinates):
Ho1 0.5000 0.5000 0.8266
Ho2 0.5000 0.5000 0.1734
Zr1 0.5000 0.5000 0.5000
In1 0.0000 0.0000 0.0000
In2 0.0000 0.0000 0.6570
In3 0.0000 0.0000 0.3430

=====

(two)
# Ho2ZrIn3

Ho2ZrIn3 after structural relaxation (PBE-GGA, Alexandria via LeMat-Bulk).

Results
Crystal system: orthorhombic
DOS(E_F), states/eV per cell: 10.54
Total magnetic moment, μB per cell: 0.0
Space-group type: Cmmm
Volume, Å³/f.u.: 148

Unit cell a=8.7337 b=7.5051 c=7.5051 alpha=142.99 beta=90.00 gamma=90.00
Atoms (fractional coordinates):
Ho1 0.7197 0.3344 0.6656
Ho2 0.2197 0.3344 0.6656
Ho3 0.2197 0.6656 0.3344
Ho4 0.7197 0.6656 0.3344
Zr1 0.7197 0.0000 0.0000
Zr2 0.2197 0.0000 0.0000
In1 0.4696 0.1611 0.8388
In2 0.9696 0.1612 0.8389
In3 0.4696 0.4999 0.4999
In4 0.9696 0.5001 0.5001
In5 0.9696 0.8389 0.1612
In6 0.4696 0.8388 0.1611

=====

What are the relative energies? In meV per atom: (one) 0; (two) 12.